[1]
This record from Alexandria describes an optimized crystal structure of TaCdW4. The functional is PBE-GGA.

Properties
The value obtained for the energy relative to the elements is 2.2 eV/f.u.

Cell lengths 5.327, 5.327, 5.327 Å; angles 60.00, 60.00, 60.00 degrees
Sites, in units of the cell vectors:
Ta  0.000  0.000  0.000
Cd  0.250  0.250  0.250
W  0.127  0.624  0.624
W  0.624  0.127  0.624
W  0.624  0.624  0.127
W  0.624  0.624  0.624

---

[2]
This record from Alexandria describes an optimized crystal structure of Li2CaThI8. The functional is PBE-GGA.

Properties
The energy relative to the elements, uncorrected is -1.29 eV/atom.

Cell lengths 7.694, 7.899, 9.281 Å; angles 74.11, 89.67, 77.04 degrees
Sites, in units of the cell vectors:
Li  0.045  0.139  0.331
Li  0.955  0.861  0.669
Ca  0.500  0.500  0.500
Th  0.500  0.500  0.000
I  0.125  0.764  0.435
I  0.131  0.754  0.952
I  0.378  0.279  0.809
I  0.382  0.263  0.299
I  0.618  0.737  0.701
I  0.622  0.721  0.191
I  0.869  0.246  0.048
I  0.875  0.236  0.565

---

[3]
This record from Alexandria describes an optimized crystal structure of InPF3. The functional is PBE-GGA.

Properties
The energy relative to the elements, uncorrected is -1.17 eV/atom. As for the energy above the most stable polymorph in this dataset: 1.061 eV/f.u.

Cell lengths 4.349, 4.349, 4.349 Å; angles 90.00, 90.00, 90.00 degrees
Sites, in units of the cell vectors:
In  0.000  0.000  0.000
P  0.500  0.500  0.500
F  0.000  0.000  0.500
F  0.000  0.500  0.000
F  0.500  0.000  0.000

---

[4]
This record from Alexandria describes an optimized crystal structure of Rb3SrAg2Cl6. The functional is PBE-GGA.

Properties
The energy relative to the elements, uncorrected is -1.41 eV/atom.

Cell lengths 7.828, 7.828, 8.378 Å; angles 90.00, 90.00, 120.00 degrees
Sites, in units of the cell vectors:
Rb  0.000  0.000  0.000
Rb  0.333  0.667  0.615
Rb  0.667  0.333  0.385
Sr  0.000  0.000  0.500
Ag  0.333  0.667  0.123
Ag  0.667  0.333  0.877
Cl  0.168  0.337  0.296
Cl  0.168  0.832  0.296
Cl  0.337  0.168  0.704
Cl  0.663  0.832  0.296
Cl  0.832  0.168  0.704
Cl  0.832  0.663  0.704

---

[5]
This record from Alexandria describes an optimized crystal structure of Pr2ZrGa. The functional is PBE-GGA.

Properties
The value obtained for the energy relative to the elements is 0.8 eV/f.u. As for the energy above the most stable polymorph in this dataset: 1.336 eV/f.u.

Cell lengths 3.369, 3.369, 34.463 Å; angles 90.00, 90.00, 120.00 degrees
Sites, in units of the cell vectors:
Pr  0.000  0.000  0.095
Pr  0.000  0.000  0.905
Pr  0.333  0.667  0.572
Pr  0.333  0.667  0.762
Pr  0.667  0.333  0.238
Pr  0.667  0.333  0.428
Zr  0.000  0.000  0.000
Zr  0.333  0.667  0.667
Zr  0.667  0.333  0.333
Ga  0.000  0.000  0.500
Ga  0.333  0.667  0.167
Ga  0.667  0.333  0.833

---

[6]
This record from Alexandria describes an optimized crystal structure of Tl2SnF. The functional is PBE-GGA.

Properties
The energy relative to the elements, uncorrected is -0.51 eV/atom. As for the energy above the most stable polymorph in this dataset: 0.582 eV/f.u.

Cell lengths 5.749, 5.749, 15.217 Å; angles 90.00, 90.00, 90.00 degrees
Sites, in units of the cell vectors:
Tl  0.165  0.250  0.125
Tl  0.250  0.665  0.375
Tl  0.250  0.835  0.875
Tl  0.335  0.250  0.625
Tl  0.665  0.750  0.625
Tl  0.750  0.165  0.875
Tl  0.750  0.335  0.375
Tl  0.835  0.750  0.125
Sn  0.000  0.000  0.500
Sn  0.000  0.500  0.750
Sn  0.500  0.000  0.250
Sn  0.500  0.500  0.000
F  0.000  0.000  0.000
F  0.000  0.500  0.250
F  0.500  0.000  0.750
F  0.500  0.500  0.500